NdThSc2As4 | Alexandria | PBE-GGA | relaxed; DFT formation energy = -1.407 eV/atom
1.0
7.008 0.000 0.000
0.000 4.099 0.000
-2.384 0.000 6.680
Nd Th Sc As
1 1 2 4
Direct
0.000 0.000 0.000
0.000 0.500 0.500
0.500 0.000 0.500
0.500 0.500 0.000
0.273 0.500 0.259
0.274 0.000 0.757
0.726 0.000 0.243
0.727 0.500 0.741